# 1
The following is a GGA-PBE calculation of a relaxed RbPuAgBr5 crystal, from Alexandria via LeMat-Bulk.

Unit cell a=8.079 b=8.079 c=10.903 alpha=103.03 beta=103.03 gamma=107.57
Each line ends with the local moment (μB).
Fractional coordinates of all 16 atoms:
Rb (0.346, 0.654, 0.250)  0.00
Rb (0.654, 0.346, 0.750)  0.00
Pu (0.000, 0.000, 0.500)  5.09
Pu (0.000, 0.000, 0.000)  5.09
Ag (0.691, 0.309, 0.250)  -0.01
Ag (0.309, 0.691, 0.750)  -0.01
Br (0.075, 0.925, 0.250)  -0.04
Br (0.925, 0.075, 0.750)  -0.04
Br (0.908, 0.313, 0.095)  -0.03
Br (0.092, 0.687, 0.905)  -0.03
Br (0.687, 0.092, 0.405)  -0.03
Br (0.313, 0.908, 0.595)  -0.03
Br (0.751, 0.631, 0.437)  -0.03
Br (0.249, 0.369, 0.563)  -0.03
Br (0.369, 0.249, 0.063)  -0.03
Br (0.631, 0.751, 0.937)  -0.03

Calculated volume ... 39.2 Å³ per atom
Space group ... C2/c, No. 15

---

# 2
The following is a GGA-PBE calculation of a relaxed Cu4Pd crystal, from Alexandria via LeMat-Bulk.

Unit cell a=4.629 b=4.629 c=4.629 alpha=90.00 beta=90.00 gamma=90.00
Fractional coordinates of all 5 atoms:
Cu (0.000, 0.000, 0.000)
Cu (0.500, 0.000, 0.500)
Cu (0.000, 0.500, 0.500)
Cu (0.500, 0.500, 0.000)
Pd (0.500, 0.500, 0.500)

Calculated volume ... 19.8 Å³ per atom
Energy relative to the elements ... 1.064 eV per atom
Relative energy among the computed polymorphs ... 1136.0 meV per atom
Space group ... Pm-3m, No. 221

---

# 3
The following is a GGA-PBE calculation of a relaxed Te2PdI crystal, from Alexandria via LeMat-Bulk.

Unit cell a=4.147 b=4.147 c=8.298 alpha=90.00 beta=90.00 gamma=120.00
Fractional coordinates of all 4 atoms:
I (0.333, 0.667, 0.454)
Te (0.333, 0.667, 0.845)
Te (0.667, 0.333, 0.159)
Pd (0.000, 0.000, 0.997)

Calculated volume ... 30.9 Å³ per atom
Space group ... P3m1, No. 156

---

Quick rundown of uncorrected energy, same order as above: -4.603 -3.252 -3.484 eV per atom
Quick rundown of total magnetization, same order as above: 0.625 0.000 0.000 μB per atom